(1)
# PuMgPtPb | the Alexandria database | PBE | optimized geometry
# size of the total moment: 1.335 μB/atom
# energy of formation from the pure elements: -332 meV per atom
data_PuMgPtPb
_chemical_formula_sum 'Pu4 Mg4 Pt4 Pb4'
_cell_length_a 7.127
_cell_length_b 7.127
_cell_length_c 7.127
_cell_angle_alpha 90.00
_cell_angle_beta 90.00
_cell_angle_gamma 90.00
_symmetry_space_group_name_H-M 'F -4 3 m'
_symmetry_Int_Tables_number 216
_symmetry_space_group_name_Hall 'F -4 2 3'
loop_
_atom_site_label
_atom_site_type_symbol
_atom_site_fract_x
_atom_site_fract_y
_atom_site_fract_z
Pu1 Pu 0.000 0.000 0.000
Mg1 Mg 0.000 0.000 0.500
Pt1 Pt 0.250 0.250 0.750
Pb1 Pb 0.250 0.250 0.250

=====

(2)
# RbMgPtPb2 | the Alexandria database | PBE | optimized geometry
# size of the total moment: 0.000 μB/atom
# energy of formation from the pure elements: 1676 meV per atom
data_RbMgPtPb2
_chemical_formula_sum 'Rb1 Mg1 Pt1 Pb2'
_cell_length_a 5.975
_cell_length_b 5.975
_cell_length_c 5.603
_cell_angle_alpha 90.00
_cell_angle_beta 90.00
_cell_angle_gamma 90.00
_symmetry_space_group_name_H-M 'P 4/m m m'
_symmetry_Int_Tables_number 123
_symmetry_space_group_name_Hall '-P 4 2'
loop_
_atom_site_label
_atom_site_type_symbol
_atom_site_fract_x
_atom_site_fract_y
_atom_site_fract_z
Rb1 Rb 0.000 0.000 0.000
Mg1 Mg 0.000 0.000 0.500
Pt1 Pt 0.500 0.500 0.500
Pb1 Pb 0.000 0.500 0.000

=====

What did the second record say?
# RbMgPtPb2 | the Alexandria database | PBE | optimized geometry
# size of the total moment: 0.000 μB/atom
# energy of formation from the pure elements: 1676 meV per atom
data_RbMgPtPb2
_chemical_formula_sum 'Rb1 Mg1 Pt1 Pb2'
_cell_length_a 5.975
_cell_length_b 5.975
_cell_length_c 5.603
_cell_angle_alpha 90.00
_cell_angle_beta 90.00
_cell_angle_gamma 90.00
_symmetry_space_group_name_H-M 'P 4/m m m'
_symmetry_Int_Tables_number 123
_symmetry_space_group_name_Hall '-P 4 2'
loop_
_atom_site_label
_atom_site_type_symbol
_atom_site_fract_x
_atom_site_fract_y
_atom_site_fract_z
Rb1 Rb 0.000 0.000 0.000
Mg1 Mg 0.000 0.000 0.500
Pt1 Pt 0.500 0.500 0.500
Pb1 Pb 0.000 0.500 0.000